[1]
BeBIN2 (PBE-GGA, relaxed); relative energy among the computed polymorphs = 1.87 eV/f.u.; space-group type = P4/mmm, No. 123; E = -20.3 eV per cell
1.0
-3.108 0.946 -0.703
-0.568 -2.940 -1.442
-1.992 -2.372 5.620
N I B Be
2 1 1 1
direct
0.500 0.000 0.000
0.000 0.500 0.000
0.000 0.000 0.500
0.500 0.500 0.500
0.000 0.000 0.000


[2]
Ca3Hg4Pb2Au2 (PBE-GGA, relaxed); formation energy from the elements = -397 meV/atom; space-group type = P-3m1, No. 164; E = -25.5 eV per cell
1.0
-1.359 -3.521 -3.082
4.190 2.383 -0.717
7.090 -9.977 8.272
Au Hg Ca Pb
2 4 3 2
direct
0.333 0.667 0.131
0.667 0.333 0.869
0.333 0.667 0.887
0.333 0.667 0.340
0.667 0.333 0.113
0.667 0.333 0.660
0.000 0.000 0.758
0.000 0.000 0.000
0.000 0.000 0.242
0.333 0.667 0.561
0.667 0.333 0.439


| no. | DOS(E_F) (states/eV per cell) |
| --- | --- |
| 1 | 1.754 |
| 2 | 5.290 |